Record 1
The following is a PBE-GGA calculation of an optimized crystal structure of Y2PaOs2, from Alexandria via LeMat-Bulk.

ΔH_f (0 K): -0.348 eV/atom
crystal system: monoclinic
N(E_F): 4.2 states/eV/f.u.
calculated total energy: -93.2 eV for the cell shown

Geometry as POSCAR:
```
Y2PaOs2
1.0
4.972 -2.932 0.000
4.972 2.932 0.000
-1.619 0.000 7.915
Y Pa Os
4 2 4
Cartesian
1.241 0.792 1.182
0.432 -0.792 5.139
7.894 0.792 2.776
7.084 -0.792 6.733
4.567 0.807 1.979
3.758 -0.807 5.936
2.837 0.799 3.892
6.297 0.799 0.066
2.028 -0.799 7.849
5.488 -0.799 4.023
```

Record 2
The following is a PBE-GGA calculation of an optimized crystal structure of La3CdIr, from Alexandria via LeMat-Bulk.

ΔH_f (0 K): -0.407 eV/atom
crystal system: triclinic
N(E_F): 5.2 states/eV/f.u.
calculated total energy: -53.2 eV for the cell shown

Geometry as POSCAR:
```
La3CdIr
1.0
5.475 0.000 0.000
-0.014 7.168 0.000
0.000 -0.541 7.994
La Cd Ir
6 2 2
Cartesian
0.000 0.000 0.000
0.000 1.211 3.673
-0.006 3.554 0.606
5.463 4.313 4.975
2.734 1.221 6.248
2.727 5.286 2.580
2.735 1.744 1.602
2.726 4.654 6.821
-0.010 5.795 2.423
2.728 2.901 4.225
```

Question: Among the records above, which one has the highest calculated total energy?
Answer: La3CdIr

Question: ΔH_f (0 K) of number 1 (Y2PaOs2)?
Answer: -0.348 eV/atom